Na3CdTc after structural relaxation. Source: Alexandria via LeMat-Bulk, functional PBEsol.

The theoretical density comes out at 2.8 g/cm3. As for the energy of formation from the pure elements: 1.35 eV/atom.

a = 5.473 Å, b = 5.473 Å, c = 5.473 Å
α = 90.00°, β = 90.00°, γ = 90.00°
Last column: magnetic moment on the atom in μB.
Element x y z (fractional)
Na (0.000, 0.500, 0.000)  -0.01
Na (0.000, 0.000, 0.500)  -0.01
Na (0.500, 0.000, 0.000)  -0.01
Tc (0.500, 0.500, 0.500)  3.64
Cd (0.000, 0.000, 0.000)  -0.03



Mo3P4O16 after structural relaxation. Source: Alexandria via LeMat-Bulk, functional PBEsol.

The theoretical density comes out at 3.7 g/cm3. As for the raw formation energy: -189 kJ per mole of atoms.

a = 5.048 Å, b = 8.630 Å, c = 13.635 Å
α = 92.71°, β = 90.00°, γ = 90.00°
Last column: magnetic moment on the atom in μB.
Element x y z (fractional)
Mo (0.975, 0.991, 0.785)  1.56
Mo (0.525, 0.491, 0.285)  1.56
Mo (0.475, 0.509, 0.715)  1.56
Mo (0.500, 0.500, 0.000)  1.98
Mo (0.025, 0.009, 0.215)  1.56
Mo (0.000, 0.000, 0.500)  1.98
P (0.006, 0.618, 0.143)  0.02
P (0.994, 0.382, 0.857)  0.02
P (0.006, 0.317, 0.376)  0.02
P (0.994, 0.683, 0.624)  0.02
P (0.506, 0.183, 0.124)  0.02
P (0.494, 0.817, 0.876)  0.02
P (0.494, 0.118, 0.643)  0.02
P (0.506, 0.882, 0.357)  0.02
O (0.783, 0.558, 0.634)  0.04
O (0.154, 0.412, 0.950)  0.02
O (0.346, 0.912, 0.450)  0.02
O (0.717, 0.058, 0.134)  0.04
O (0.374, 0.965, 0.273)  0.02
O (0.926, 0.783, 0.537)  0.02
O (0.232, 0.104, 0.110)  0.02
O (0.874, 0.535, 0.227)  0.02
O (0.016, 0.794, 0.168)  0.01
O (0.574, 0.283, 0.037)  0.02
O (0.768, 0.896, 0.890)  0.02
O (0.126, 0.465, 0.773)  0.02
O (0.199, 0.056, 0.637)  0.00
O (0.499, 0.290, 0.219)  0.01
O (0.801, 0.944, 0.363)  0.00
O (0.426, 0.717, 0.963)  0.02
O (0.301, 0.556, 0.137)  0.00
O (0.268, 0.604, 0.610)  0.02
O (0.732, 0.396, 0.390)  0.02
O (0.217, 0.442, 0.366)  0.04
O (0.484, 0.294, 0.668)  0.01
O (0.501, 0.710, 0.781)  0.01
O (0.001, 0.790, 0.719)  0.01
O (0.984, 0.206, 0.832)  0.01
O (0.074, 0.217, 0.463)  0.02
O (0.516, 0.706, 0.332)  0.01
O (0.846, 0.588, 0.050)  0.02
O (0.654, 0.088, 0.550)  0.02
O (0.283, 0.942, 0.866)  0.04
O (0.626, 0.035, 0.727)  0.02
O (0.699, 0.444, 0.863)  0.00
O (0.999, 0.210, 0.281)  0.01



LaMg2Cu after structural relaxation. Source: Alexandria via LeMat-Bulk, functional PBEsol.

The theoretical density comes out at 4.5 g/cm3. As for the energy of formation from the pure elements: 0.29 eV/atom.

a = 3.148 Å, b = 5.759 Å, c = 5.759 Å
α = 116.44°, β = 90.00°, γ = 90.00°
Element x y z (fractional)
Cu (0.500, 0.000, 0.000)
La (0.500, 0.500, 0.500)
Mg (0.000, 0.500, 0.000)
Mg (0.000, 0.000, 0.500)



Ca5Al2Sb6 after structural relaxation. Source: Alexandria via LeMat-Bulk, functional PBEsol.

The theoretical density comes out at 4.4 g/cm3. As for the raw formation energy: -76 kJ per mole of atoms.

a = 4.447 Å, b = 11.920 Å, c = 13.906 Å
α = 90.00°, β = 90.00°, γ = 90.00°
Element x y z (fractional)
Al (0.500, 0.332, 0.787)
Al (0.500, 0.668, 0.213)
Al (0.500, 0.168, 0.287)
Al (0.500, 0.832, 0.713)
Ca (0.000, 0.328, 0.984)
Ca (0.000, 0.672, 0.016)
Ca (0.000, 0.172, 0.484)
Ca (0.000, 0.828, 0.516)
Ca (0.000, 0.000, 0.000)
Ca (0.000, 0.500, 0.500)
Ca (0.000, 0.909, 0.247)
Ca (0.000, 0.091, 0.753)
Ca (0.000, 0.591, 0.747)
Ca (0.000, 0.409, 0.253)
Sb (0.000, 0.163, 0.176)
Sb (0.000, 0.837, 0.824)
Sb (0.000, 0.337, 0.676)
Sb (0.000, 0.663, 0.324)
Sb (0.500, 0.155, 0.907)
Sb (0.500, 0.845, 0.093)
Sb (0.500, 0.345, 0.407)
Sb (0.500, 0.655, 0.593)
Sb (0.500, 0.527, 0.900)
Sb (0.500, 0.473, 0.100)
Sb (0.500, 0.973, 0.400)
Sb (0.500, 0.027, 0.600)



BaCu2SeI after structural relaxation. Source: Alexandria via LeMat-Bulk, functional PBEsol.

The theoretical density comes out at 4.3 g/cm3. As for the raw formation energy: 99 kJ per mole of atoms.

a = 5.540 Å, b = 5.540 Å, c = 5.889 Å
α = 90.00°, β = 90.00°, γ = 90.00°
Last column: magnetic moment on the atom in μB.
Element x y z (fractional)
I (0.500, 0.500, 0.500)  0.24
Cu (0.000, 0.500, 0.000)  0.02
Cu (0.500, 0.000, 0.000)  0.02
Ba (0.000, 0.000, 0.000)  0.02
Se (0.000, 0.000, 0.500)  0.49



KHg2Au after structural relaxation. Source: Alexandria via LeMat-Bulk, functional PBEsol.

The theoretical density comes out at 10.2 g/cm3. As for the energy of formation from the pure elements: -0.11 eV/atom. The excess energy over the best structure of this formula in the dataset comes out at 73 meV/atom.

a = 3.775 Å, b = 3.775 Å, c = 7.270 Å
α = 90.00°, β = 90.00°, γ = 90.00°
Element x y z (fractional)
K (0.000, 0.000, 0.512)
Au (0.500, 0.500, 0.810)
Hg (0.000, 0.000, 0.971)
Hg (0.500, 0.500, 0.208)



CrReRh2 after structural relaxation. Source: Alexandria via LeMat-Bulk, functional PBEsol.

The theoretical density comes out at 13.8 g/cm3. As for the energy of formation from the pure elements: -0.05 eV/atom. The excess energy over the best structure of this formula in the dataset comes out at 97 meV/atom.

a = 2.660 Å, b = 2.660 Å, c = 7.526 Å
α = 90.00°, β = 90.00°, γ = 90.00°
Element x y z (fractional)
Re (0.500, 0.500, 0.748)
Rh (0.000, 0.000, 0.995)
Rh (0.500, 0.500, 0.268)
Cr (0.000, 0.000, 0.489)



MnOF after structural relaxation. Source: Alexandria via LeMat-Bulk, functional PBEsol.

The theoretical density comes out at 4.7 g/cm3. As for the raw formation energy: -186 kJ per mole of atoms.

a = 4.557 Å, b = 4.557 Å, c = 12.302 Å
α = 89.99°, β = 89.99°, γ = 90.10°
Last column: magnetic moment on the atom in μB.
Element x y z (fractional)
Mn (0.959, 0.976, 0.875)  3.76
Mn (0.024, 0.041, 0.125)  3.76
Mn (0.955, 0.985, 0.374)  3.54
Mn (0.015, 0.045, 0.626)  3.54
Mn (0.522, 0.478, 0.500)  3.81
Mn (0.461, 0.539, 0.000)  3.74
Mn (0.524, 0.482, 0.250)  3.77
Mn (0.518, 0.476, 0.750)  3.77
O (0.817, 0.187, 0.250)  0.04
O (0.818, 0.182, 0.500)  0.02
O (0.813, 0.183, 0.750)  0.04
O (0.313, 0.336, 0.126)  0.06
O (0.331, 0.306, 0.624)  0.05
O (0.664, 0.687, 0.874)  0.06
O (0.694, 0.669, 0.376)  0.05
O (0.169, 0.831, 0.000)  0.06
F (0.765, 0.235, 0.000)  0.09
F (0.263, 0.283, 0.873)  0.09
F (0.287, 0.265, 0.377)  0.08
F (0.717, 0.737, 0.127)  0.09
F (0.735, 0.713, 0.623)  0.08
F (0.210, 0.783, 0.260)  0.07
F (0.211, 0.789, 0.500)  0.05
F (0.217, 0.790, 0.740)  0.07



| no. | Fermi-level density of states (states/eV/atom) | calculated total energy (eV/atom) |
| --- | --- | --- |
| 1 | 1.181 | -1.987 |
| 2 | 0.362 | -8.151 |
| 3 | 0.789 | -2.988 |
| 4 | 0.030 | -4.342 |
| 5 | 1.320 | -2.258 |
| 6 | 0.169 | -1.653 |
| 7 | 0.780 | -10.008 |
| 8 | 0.184 | -7.575 |